Record 1
Below is Na2Sr2CuGe4 after structural relaxation, with properties calculated at the GGA-PBE level.

abc: 6.5252 6.5252 9.7255
angles: 90.00 90.00 90.00
Space group I4/mmm (No. 139)
One atom of each set of equivalent atoms:
Na 0.0000 0.0000 0.2237
Sr 0.0000 0.5000 0.2500
Cu 0.0000 0.0000 0.5000
Ge 0.2254 0.2254 0.0000

Computed properties:
Total DFT energy (no corrections): -60.41 eV for the cell shown
Size of the total moment: 0.00 Bohr magnetons per cell
Calculated density: 4614 kg/m3
Crystal system: tetragonal


Record 2
Below is NaGdHgBi after structural relaxation, with properties calculated at the GGA-PBE level.

abc: 7.6457 7.6457 7.6457
angles: 90.00 90.00 90.00
Space group F-43m (No. 216)
One atom of each set of equivalent atoms:
Na 0.0000 0.0000 0.0000
Gd 0.0000 0.0000 0.5000
Hg 0.2500 0.2500 0.2500
Bi 0.2500 0.2500 0.7500

Computed properties:
Total DFT energy (no corrections): -85.64 eV for the cell shown
Size of the total moment: 28.13 Bohr magnetons per cell
Calculated density: 8765 kg/m3
Crystal system: cubic


Record 3
Below is CaCoI after structural relaxation, with properties calculated at the GGA-PBE level.

abc: 11.0788 4.0030 8.8865
angles: 90.00 119.56 90.00
Space group Cm (No. 8)
One atom of each set of equivalent atoms:
Ca 0.0000 0.0000 0.0000
Ca 0.1433 0.0000 0.6629
Co 0.3457 0.5000 0.6151
Co 0.4406 0.0000 0.7333
I 0.0822 0.5000 0.3401
I 0.2222 0.5000 0.0006

Computed properties:
Total DFT energy (no corrections): -47.06 eV for the cell shown
Size of the total moment: 4.72 Bohr magnetons per cell
Raw formation energy: -36 kJ per mole of atoms
Calculated density: 4378 kg/m3
Crystal system: monoclinic


Record 4
Below is LiTiN2 after structural relaxation, with properties calculated at the GGA-PBE level.

abc: 3.0847 3.0847 17.3273
angles: 90.00 90.00 120.00
Space group R-3m (No. 166, hexagonal axes)
One atom of each set of equivalent atoms:
Li 0.0000 0.0000 0.0000
Ti 0.0000 0.0000 0.5000
N 0.0000 0.0000 0.1076

Computed properties:
Total DFT energy (no corrections): -86.73 eV for the cell shown
Size of the total moment: 0.00 Bohr magnetons per cell
Raw formation energy: -59 kJ per mole of atoms
Calculated density: 2889 kg/m3
Crystal system: trigonal


Please write out number 3 again, unchanged.
Below is CaCoI after structural relaxation, with properties calculated at the GGA-PBE level.

abc: 11.0788 4.0030 8.8865
angles: 90.00 119.56 90.00
Space group Cm (No. 8)
One atom of each set of equivalent atoms:
Ca 0.0000 0.0000 0.0000
Ca 0.1433 0.0000 0.6629
Co 0.3457 0.5000 0.6151
Co 0.4406 0.0000 0.7333
I 0.0822 0.5000 0.3401
I 0.2222 0.5000 0.0006

Computed properties:
Total DFT energy (no corrections): -47.06 eV for the cell shown
Size of the total moment: 4.72 Bohr magnetons per cell
Raw formation energy: -36 kJ per mole of atoms
Calculated density: 4378 kg/m3
Crystal system: monoclinic